1.
Density functional theory data (GGA-PBE) for an optimized crystal structure of ZrPd2Pt2.

```
data_ZrPd2Pt2
_chemical_formula_sum 'Zr1 Pd2 Pt2'
_cell_length_a 3.7040
_cell_length_b 3.7040
_cell_length_c 7.1004
_cell_angle_alpha 74.88
_cell_angle_beta 74.88
_cell_angle_gamma 90.00
_symmetry_space_group_name_H-M 'P 1'
_symmetry_Int_Tables_number 1
_symmetry_space_group_name_Hall 'P 1'
loop_
_atom_site_label
_atom_site_fract_x
_atom_site_fract_y
_atom_site_fract_z
Zr1 0.0000 0.0000 0.0000
Pd1 0.4026 0.4026 0.1949
Pd2 0.5974 0.5974 0.8051
Pt1 0.7500 0.2500 0.5000
Pt2 0.2500 0.7500 0.5000
```

## Properties
ΔE to the lowest computed polymorph = 0.170 eV per atom
ΔE_f = -0.29 eV/atom



2.
Density functional theory data (GGA-PBE) for an optimized crystal structure of TlInBi4.

```
data_TlInBi4
_chemical_formula_sum 'Tl2 In2 Bi8'
_cell_length_a 5.8086
_cell_length_b 6.8246
_cell_length_c 10.2913
_cell_angle_alpha 70.64
_cell_angle_beta 90.00
_cell_angle_gamma 90.01
_symmetry_space_group_name_H-M 'P 1'
_symmetry_Int_Tables_number 1
_symmetry_space_group_name_Hall 'P 1'
loop_
_atom_site_label
_atom_site_fract_x
_atom_site_fract_y
_atom_site_fract_z
Tl1 0.7500 0.1232 0.2537
Tl2 0.2500 0.8768 0.7463
In1 0.7500 0.6265 0.2470
In2 0.2500 0.3735 0.7530
Bi1 0.2500 0.7819 0.4195
Bi2 0.2500 0.9545 0.0797
Bi3 0.7500 0.7014 0.5805
Bi4 0.7500 0.5342 0.9203
Bi5 0.7500 0.2181 0.5805
Bi6 0.2500 0.2986 0.4195
Bi7 0.7500 0.0455 0.9203
Bi8 0.2500 0.4658 0.0797
```

## Properties
ΔE to the lowest computed polymorph = 0.000 eV per atom
ΔE_f = 0.00 eV/atom



Repeat the first record exactly.
Density functional theory data (GGA-PBE) for an optimized crystal structure of ZrPd2Pt2.

```
data_ZrPd2Pt2
_chemical_formula_sum 'Zr1 Pd2 Pt2'
_cell_length_a 3.7040
_cell_length_b 3.7040
_cell_length_c 7.1004
_cell_angle_alpha 74.88
_cell_angle_beta 74.88
_cell_angle_gamma 90.00
_symmetry_space_group_name_H-M 'P 1'
_symmetry_Int_Tables_number 1
_symmetry_space_group_name_Hall 'P 1'
loop_
_atom_site_label
_atom_site_fract_x
_atom_site_fract_y
_atom_site_fract_z
Zr1 0.0000 0.0000 0.0000
Pd1 0.4026 0.4026 0.1949
Pd2 0.5974 0.5974 0.8051
Pt1 0.7500 0.2500 0.5000
Pt2 0.2500 0.7500 0.5000
```

## Properties
ΔE to the lowest computed polymorph = 0.170 eV per atom
ΔE_f = -0.29 eV/atom